# 1
VASP calculation (GGA-PBE) on a relaxed NaPm2In crystal.

Lattice parameters (Å, degrees): 3.607 3.607 9.833 90.00 90.00 90.00
Atoms (fractional coordinates):
1 Na 0.500 0.500 0.000
2 In 0.500 0.500 0.500
3 Pm 0.000 0.000 0.713
4 Pm 0.000 0.000 0.287

Computed properties:
The value obtained for the formation energy is -116 meV per atom.

=====

# 2
VASP calculation (GGA-PBE) on a relaxed ZrInAs2 crystal.

Lattice parameters (Å, degrees): 3.861 3.861 7.601 75.29 75.29 60.00
Atoms (fractional coordinates):
1 Zr 0.666 0.666 0.003
2 In 0.499 0.499 0.502
3 As 0.075 0.075 0.775
4 As 0.260 0.260 0.221

Computed properties:
The value obtained for the formation energy is -436 meV per atom.

=====

# 3
VASP calculation (GGA-PBE) on a relaxed LiTaMn4 crystal.

Lattice parameters (Å, degrees): 4.731 4.731 4.731 60.00 60.00 60.00
Atoms (fractional coordinates):
1 Li 0.000 0.000 0.000
2 Ta 0.250 0.250 0.250
3 Mn 0.626 0.626 0.123
4 Mn 0.626 0.123 0.626
5 Mn 0.626 0.626 0.626
6 Mn 0.123 0.626 0.626

Computed properties:
The value obtained for the formation energy is 56 meV per atom.

=====

# 4
VASP calculation (GGA-PBE) on a relaxed SbCl6F crystal.

Lattice parameters (Å, degrees): 6.939 6.929 9.747 49.01 47.95 63.73
Atoms (fractional coordinates):
1 Sb 0.000 0.000 0.000
2 Cl 0.133 0.460 0.764
3 Cl 0.894 0.102 0.773
4 Cl 0.585 0.145 0.202
5 Cl 0.106 0.898 0.227
6 Cl 0.867 0.540 0.236
7 Cl 0.415 0.855 0.798
8 F 0.500 0.500 0.500

Computed properties:
The value obtained for the calculated total energy is -2.614 eV per atom.

=====

# 5
VASP calculation (GGA-PBE) on a relaxed TbZn4Ni crystal.

Lattice parameters (Å, degrees): 3.931 6.742 7.611 90.00 90.00 90.00
Atoms (fractional coordinates):
1 Tb 0.000 0.609 0.750
2 Tb 0.000 0.391 0.250
3 Zn 0.000 0.000 0.500
4 Zn 0.000 0.000 0.000
5 Zn 0.500 0.954 0.750
6 Zn 0.500 0.046 0.250
7 Zn 0.500 0.696 0.057
8 Zn 0.500 0.304 0.943
9 Zn 0.500 0.696 0.443
10 Zn 0.500 0.304 0.557
11 Ni 0.000 0.210 0.750
12 Ni 0.000 0.790 0.250

Computed properties:
The value obtained for the polymorph energy (0 for the lowest one) is 0.000 eV/atom. The value obtained for the formation energy is -313 meV per atom.

=====

# 6
VASP calculation (GGA-PBE) on a relaxed IrAuI4 crystal.

Lattice parameters (Å, degrees): 6.960 7.507 10.520 69.10 91.68 94.70
Atoms (fractional coordinates):
1 Ir 0.750 0.050 0.400
2 Ir 0.250 0.950 0.600
3 Au 0.250 0.354 0.791
4 Au 0.750 0.646 0.209
5 I 0.424 0.059 0.798
6 I 0.076 0.644 0.798
7 I 0.445 0.243 0.408
8 I 0.555 0.757 0.592
9 I 0.945 0.151 0.592
10 I 0.924 0.356 0.202
11 I 0.055 0.849 0.408
12 I 0.576 0.941 0.202

Computed properties:
The value obtained for the calculated total energy is -3.143 eV per atom.

=====

# 7
VASP calculation (GGA-PBE) on a relaxed PrNdEu2 crystal.

Lattice parameters (Å, degrees): 5.989 5.989 5.989 60.00 60.00 60.00
Last column: magnetic moment on the atom in μB.
Atoms (fractional coordinates):
1 Eu 0.250 0.250 0.250  -6.87
2 Eu 0.750 0.750 0.750  -6.87
3 Pr 0.000 0.000 0.000  -0.12
4 Nd 0.500 0.500 0.500  -0.11

Computed properties:
The value obtained for the polymorph energy (0 for the lowest one) is 0.056 eV/atom. The value obtained for the formation energy is 122 meV per atom.

=====

# 8
VASP calculation (GGA-PBE) on a relaxed SrMoRh2 crystal.

Lattice parameters (Å, degrees): 9.890 9.890 9.890 17.04 17.04 17.04
Last column: magnetic moment on the atom in μB.
Atoms (fractional coordinates):
1 Mo 0.737 0.737 0.737  -0.03
2 Rh 0.001 0.001 0.001  0.02
3 Rh 0.256 0.256 0.256  0.23
4 Sr 0.506 0.506 0.506  -0.01

Computed properties:
The value obtained for the polymorph energy (0 for the lowest one) is 0.610 eV/atom. The value obtained for the formation energy is 630 meV per atom.

=====

# 9
VASP calculation (GGA-PBE) on a relaxed ScNi6Sn crystal.

Lattice parameters (Å, degrees): 6.445 6.445 10.522 90.00 90.00 109.47
Atoms (fractional coordinates):
1 Sc 0.748 0.252 0.000
2 Sc 0.252 0.748 0.000
3 Sc 0.500 0.500 0.752
4 Sc 0.500 0.500 0.248
5 Ni 0.749 0.251 0.750
6 Ni 0.124 0.376 0.875
7 Ni 0.876 0.624 0.875
8 Ni 0.251 0.749 0.750
9 Ni 0.624 0.876 0.875
10 Ni 0.376 0.124 0.875
11 Ni 0.500 0.500 0.500
12 Ni 0.877 0.628 0.625
13 Ni 0.628 0.877 0.625
14 Ni 0.749 0.251 0.250
15 Ni 0.123 0.372 0.375
16 Ni 0.877 0.628 0.375
17 Ni 0.251 0.749 0.250
18 Ni 0.628 0.877 0.375
19 Ni 0.372 0.123 0.375
20 Ni 0.500 0.500 0.000
21 Ni 0.876 0.624 0.125
22 Ni 0.624 0.876 0.125
23 Ni 0.000 0.000 0.500
24 Ni 0.372 0.123 0.625
25 Ni 0.123 0.372 0.625
26 Ni 0.000 0.000 0.000
27 Ni 0.376 0.124 0.125
28 Ni 0.124 0.376 0.125
29 Sn 0.745 0.255 0.500
30 Sn 0.255 0.745 0.500
31 Sn 0.000 0.000 0.753
32 Sn 0.000 0.000 0.247

Computed properties:
The value obtained for the formation energy is -292 meV per atom.

=====

# 10
VASP calculation (GGA-PBE) on a relaxed ThTa4Ti crystal.

Lattice parameters (Å, degrees): 5.618 5.618 5.618 60.00 60.00 60.00
Atoms (fractional coordinates):
1 Ti 0.000 0.000 0.000
2 Th 0.250 0.250 0.250
3 Ta 0.625 0.625 0.125
4 Ta 0.625 0.125 0.625
5 Ta 0.625 0.625 0.625
6 Ta 0.125 0.625 0.625

Computed properties:
The value obtained for the formation energy is 189 meV per atom.

=====

# 11
VASP calculation (GGA-PBE) on a relaxed TaP2OsO crystal.

Lattice parameters (Å, degrees): 4.801 4.801 3.579 90.00 90.00 90.00
Last column: magnetic moment on the atom in μB.
Atoms (fractional coordinates):
1 P 0.000 0.500 0.000  -0.03
2 P 0.500 0.000 0.000  -0.03
3 Os 0.000 0.000 0.000  0.05
4 O 0.000 0.000 0.500  0.03
5 Ta 0.500 0.500 0.500  0.60

Computed properties:
The value obtained for the polymorph energy (0 for the lowest one) is 0.024 eV/atom.

=====

# 12
VASP calculation (GGA-PBE) on a relaxed RbBa2HfS crystal.

Lattice parameters (Å, degrees): 6.535 5.495 6.535 90.00 90.00 90.00
Last column: magnetic moment on the atom in μB.
Atoms (fractional coordinates):
1 S 0.000 0.500 0.000  0.00
2 Hf 0.500 0.500 0.500  1.33
3 Ba 0.000 0.000 0.500  0.16
4 Ba 0.500 0.000 0.000  0.14
5 Rb 0.000 0.000 0.000  0.01

Computed properties:
The value obtained for the calculated total energy is -2.792 eV per atom.

=====

Calculated density values (in kg/m3) by entry order: 5553; 6300; 9040; 2235; 7890; 5820; 6441; 8924; 8313; 13292; 9039; 4038.